VASP calculation (PBE-GGA) on an optimized crystal structure of CaMnGe2.

For the formation energy, the calculation gives -1.20 eV per formula unit.

The structure belongs to space group R-3m (No. 166, hexagonal axes); the cell edges are 4.1124, 4.1124 and 16.6410 Å and the angles 90.00°, 90.00° and 120.00°. The distinct sites, in fractional coordinates, are Ca at (0.0000, 0.0000, 0.0000), Mn at (0.0000, 0.0000, 0.5000) and Ge at (0.0000, 0.0000, 0.2193).